Density functional theory data (PBE+U) for a relaxed structure of KVO2.

```
KVO2
1.0
-2.552 1.449 -0.742
-3.398 -3.299 5.246
1.551 4.427 3.300
O V K
4 2 2
Direct
0.118 0.443 0.271
0.619 0.206 0.855
0.619 0.585 0.927
0.118 0.822 0.344
0.619 0.641 0.283
0.119 0.386 0.916
0.618 0.146 0.367
0.119 0.882 0.832
```

## Properties
Total DFT energy (no corrections) in eV per atom: -6.3904